[1]
An optimized crystal structure of Ca2CeYP4. Source: Alexandria via LeMat-Bulk, functional GGA-PBE.

Cell and atoms, written as POSCAR:
```
Ca2CeYP4
1.0
-1.873 -3.663 -0.074
6.315 -3.224 -0.280
-1.942 0.857 6.749
Ca Ce Y P
2 1 1 4
direct
0.500 0.000 0.500
0.000 0.500 0.500
0.000 0.000 0.000
0.500 0.500 0.000
0.500 0.244 0.234
0.500 0.756 0.766
0.000 0.254 0.765
0.000 0.746 0.235
```

Summary:
As for the energy of formation: -1252 meV/atom.

=====

[2]
An optimized crystal structure of HgMoAs2. Source: Alexandria via LeMat-Bulk, functional GGA-PBE.

Cell and atoms, written as POSCAR:
```
HgMoAs2
1.0
9.675 0.284 -0.049
8.538 4.559 0.049
-9.085 -2.502 2.211
As Mo Hg
2 1 1
direct
0.093 0.093 0.000
0.771 0.271 0.500
0.200 0.700 0.500
0.436 0.436 0.000
```

Summary:
As for the energy of formation: 103 meV/atom.

=====

[3]
An optimized crystal structure of Cr2BiSe. Source: Alexandria via LeMat-Bulk, functional GGA-PBE.

Cell and atoms, written as POSCAR:
```
Cr2BiSe
1.0
-3.130 3.935 2.870
1.423 -2.524 5.012
4.395 4.553 4.388
Cr Bi Se
4 2 2
direct
0.576 0.125 0.250
0.174 0.625 0.250
0.375 0.424 0.750
0.875 0.826 0.750
0.000 0.000 0.000
0.750 0.250 0.500
0.500 0.500 0.000
0.250 0.750 0.500
```

Summary:
The uncorrected formation energy comes out at 1.1 eV per formula unit. The energy above the most stable polymorph in this dataset comes out at 0.0 meV/atom.

=====

[4]
An optimized crystal structure of AlHgP3. Source: Alexandria via LeMat-Bulk, functional GGA-PBE.

Cell and atoms, written as POSCAR:
```
AlHgP3
1.0
4.687 0.000 0.000
0.000 4.687 0.000
0.000 0.000 4.687
P Hg Al
3 1 1
direct
0.000 0.500 0.000
0.000 0.000 0.500
0.500 0.000 0.000
0.500 0.500 0.500
0.000 0.000 0.000
```

Summary:
As for the energy of formation: 736 meV/atom. The energy above the most stable polymorph in this dataset comes out at 0.0 meV/atom.

=====

Number 1: spin magnetization 0.0 μB/cell. Number 2: spin magnetization 0.0 μB/cell. Number 3: spin magnetization 14.0 μB/cell. Number 4: spin magnetization 0.0 μB/cell.